Arrangement i

NiMoOs2: optimized geometry, GGA-PBEsol. Values from VASP.

Structure (Quantum ESPRESSO input):
```
&SYSTEM
  ibrav = 0, nat = 4, ntyp = 3
/
ATOMIC_SPECIES
Ni 58.69 Ni.upf
Mo 95.94 Mo.upf
Os 190.23 Os.upf
CELL_PARAMETERS angstrom
-2.6767 1.3652 -2.2456
2.1776 -0.6423 -2.9861
-1.2517 -3.8659 2.2749
ATOMIC_POSITIONS crystal
Ni 0.7500 0.2500 0.5000
Mo 0.5000 0.5000 0.0000
Os 0.2500 0.7500 0.5000
Os 0.0000 0.0000 0.0000
```

Summary:
- V: 53.9 Å³/cell
- DOS(E_F): 0.97 states/eV/atom

***

Arrangement ii

NiMoOs2: optimized geometry, GGA-PBEsol. Values from VASP.

Structure (Quantum ESPRESSO input):
```
&SYSTEM
  ibrav = 0, nat = 4, ntyp = 3
/
ATOMIC_SPECIES
Ni 58.69 Ni.upf
Os 190.23 Os.upf
Mo 95.94 Mo.upf
CELL_PARAMETERS angstrom
-0.3121 1.5873 2.1536
-3.9377 0.0183 -2.2686
-0.7277 -3.7908 2.6886
ATOMIC_POSITIONS crystal
Ni 0.5000 0.0000 0.0000
Os 0.2479 0.4959 0.2337
Mo 0.0000 0.0000 0.5000
Os 0.7521 0.5041 0.7663
```

Summary:
- V: 54.3 Å³/cell
- DOS(E_F): 0.77 states/eV/atom

***

Quick ranking, most stable first: arrangement i, arrangement ii.

***

Arrangement i

V2O3F3: optimized geometry, GGA-PBEsol. Values from VASP.

Structure (Quantum ESPRESSO input):
```
&SYSTEM
  ibrav = 0, nat = 24, ntyp = 3
/
ATOMIC_SPECIES
V 50.94 V.upf
O 16.00 O.upf
F 19.00 F.upf
CELL_PARAMETERS angstrom
5.1576 0.0004 -0.0138
2.5684 4.5299 0.0096
0.1547 0.1698 12.8564
ATOMIC_POSITIONS crystal
V 0.3801 0.3289 0.8304
O 0.6720 0.2041 0.9169
F 0.3326 0.8733 0.5861
F 0.7780 0.3231 0.5898
O 0.6583 0.1326 0.4180
V 0.9781 0.0405 0.4884
F 0.9110 0.3297 0.0830
O 0.5569 0.9922 0.7494
F 0.2151 0.6773 0.4170
F 0.4304 0.0004 0.2517
O 0.4490 0.5382 0.7518
V 0.6801 0.7074 0.6681
F 0.9944 0.4363 0.7522
O 0.8799 0.7762 0.5839
O 0.1105 0.2216 0.4206
O 0.5367 0.4530 0.2474
V 0.6376 0.6722 0.1586
F 0.9856 0.5550 0.2550
V 0.3590 0.3353 0.3307
V 0.9780 0.9918 0.0033
F 0.2172 0.1015 0.9137
O 0.8030 0.8789 0.0873
F 0.1050 0.6501 0.9177
O 0.3516 0.7806 0.0787
```

Summary:
- V: 300.4 Å³/cell
- DOS(E_F): 0.20 states/eV/atom

***

Arrangement ii

V2O3F3: optimized geometry, GGA-PBEsol. Values from VASP.

Structure (Quantum ESPRESSO input):
```
&SYSTEM
  ibrav = 0, nat = 16, ntyp = 3
/
ATOMIC_SPECIES
V 50.94 V.upf
F 19.00 F.upf
O 16.00 O.upf
CELL_PARAMETERS angstrom
-1.1787 -2.2812 4.4407
-0.8555 -5.0576 -0.0424
7.7294 -3.4136 2.6713
ATOMIC_POSITIONS crystal
V 0.4681 0.7615 0.1323
F 0.3323 0.1164 0.9914
F 0.8836 0.6677 0.0086
O 0.1167 0.8393 0.2423
O 0.4306 0.5694 0.0000
V 0.2385 0.5319 0.8677
F 0.6167 0.3367 0.7416
F 0.8355 0.6166 0.4919
V 0.0195 0.2192 0.6336
F 0.6633 0.3833 0.2584
O 0.0735 0.4272 0.7504
V 0.7808 0.9805 0.3664
O 0.1607 0.8833 0.7577
O 0.5728 0.9265 0.2496
F 0.3834 0.1645 0.5081
O 0.9239 0.0761 0.5000
```

Summary:
- V: 198.2 Å³/cell
- DOS(E_F): 0.36 states/eV/atom

***

Quick ranking, most stable first: arrangement i, arrangement ii.